# 1
Below is SmThOsI after structural relaxation, with properties calculated at the PBE level.

Unit cell a=8.520 b=8.520 c=8.520 alpha=28.47 beta=28.47 gamma=28.47
Fractional coordinates of all 4 atoms:
Sm (0.000, 0.000, 0.000)
Th (0.214, 0.214, 0.214)
Os (0.603, 0.603, 0.603)
I (0.772, 0.772, 0.772)

Total magnetization (μB/atom): 0.00
Formation energy without anion corrections (meV per atom): -638
Space-group type: R3m, No. 160

# 2
Below is Sn2OsI after structural relaxation, with properties calculated at the PBE level.

Unit cell a=8.065 b=8.065 c=8.065 alpha=131.23 beta=131.23 gamma=71.45
Fractional coordinates of all 8 atoms:
Sn (0.023, 0.625, 0.898)
Sn (0.375, 0.273, 0.398)
Sn (0.727, 0.125, 0.102)
Sn (0.875, 0.977, 0.602)
Os (0.000, 0.000, 0.000)
Os (0.750, 0.250, 0.500)
I (0.250, 0.750, 0.500)
I (0.500, 0.500, 0.000)

Total magnetization (μB/atom): 0.00
Formation energy without anion corrections (meV per atom): 557
ΔE to the lowest computed polymorph (meV per atom): 0
Space-group type: I-42d, No. 122

# 3
Below is Sn3OsI after structural relaxation, with properties calculated at the PBE level.

Unit cell a=5.198 b=5.198 c=5.198 alpha=90.00 beta=90.00 gamma=90.00
Fractional coordinates of all 5 atoms:
Sn (0.000, 0.000, 0.500)
Sn (0.000, 0.500, 0.000)
Sn (0.500, 0.000, 0.000)
Os (0.000, 0.000, 0.000)
I (0.500, 0.500, 0.500)

Total magnetization (μB/atom): 0.00
Formation energy without anion corrections (meV per atom): 37
ΔE to the lowest computed polymorph (meV per atom): 0
Space-group type: Pm-3m, No. 221

# 4
Below is SnOs2I after structural relaxation, with properties calculated at the PBE level.

Unit cell a=7.265 b=7.265 c=7.265 alpha=131.76 beta=131.76 gamma=70.61
Fractional coordinates of all 8 atoms:
Sn (0.000, 0.000, 0.000)
Sn (0.750, 0.250, 0.500)
Os (0.138, 0.625, 0.013)
Os (0.375, 0.388, 0.513)
Os (0.612, 0.125, 0.987)
Os (0.875, 0.862, 0.487)
I (0.250, 0.750, 0.500)
I (0.500, 0.500, 0.000)

Total magnetization (μB/atom): 0.00
Formation energy without anion corrections (meV per atom): 1414
ΔE to the lowest computed polymorph (meV per atom): 180
Space-group type: I-42d, No. 122

# 5
Below is Sn2OsI after structural relaxation, with properties calculated at the PBE level.

Unit cell a=5.140 b=5.140 c=5.140 alpha=60.00 beta=60.00 gamma=60.00
Fractional coordinates of all 4 atoms:
Sn (0.250, 0.250, 0.250)
Sn (0.750, 0.750, 0.750)
Os (0.000, 0.000, 0.000)
I (0.500, 0.500, 0.500)

Total magnetization (μB/atom): 0.30
Formation energy without anion corrections (meV per atom): 1061
ΔE to the lowest computed polymorph (meV per atom): 504
Space-group type: Fm-3m, No. 225

# 6
Below is SnOs2I after structural relaxation, with properties calculated at the PBE level.

Unit cell a=4.697 b=4.697 c=4.697 alpha=60.00 beta=60.00 gamma=60.00
Fractional coordinates of all 4 atoms:
Sn (0.000, 0.000, 0.000)
Os (0.250, 0.250, 0.250)
Os (0.750, 0.750, 0.750)
I (0.500, 0.500, 0.500)

Total magnetization (μB/atom): 0.00
Formation energy without anion corrections (meV per atom): 1235
ΔE to the lowest computed polymorph (meV per atom): 0
Space-group type: Fm-3m, No. 225

# 7
Below is SnOsI2 after structural relaxation, with properties calculated at the PBE level.

Unit cell a=7.373 b=7.373 c=7.373 alpha=97.23 beta=97.23 gamma=138.45
Fractional coordinates of all 8 atoms:
Sn (0.000, 0.000, 0.000)
Sn (0.750, 0.250, 0.500)
Os (0.250, 0.750, 0.500)
Os (0.500, 0.500, 0.000)
I (0.263, 0.625, 0.138)
I (0.375, 0.513, 0.638)
I (0.487, 0.125, 0.862)
I (0.875, 0.737, 0.362)

Total magnetization (μB/atom): 0.00
Formation energy without anion corrections (meV per atom): 425
ΔE to the lowest computed polymorph (meV per atom): 0
Space-group type: I-42d, No. 122

# 8
Below is SnOs3I after structural relaxation, with properties calculated at the PBE level.

Unit cell a=4.857 b=4.857 c=4.857 alpha=90.00 beta=90.00 gamma=90.00
Fractional coordinates of all 5 atoms:
Sn (0.000, 0.000, 0.000)
Os (0.000, 0.500, 0.500)
Os (0.500, 0.000, 0.500)
Os (0.500, 0.500, 0.000)
I (0.500, 0.500, 0.500)

Total magnetization (μB/atom): 0.00
Formation energy without anion corrections (meV per atom): 2577
ΔE to the lowest computed polymorph (meV per atom): 0
Space-group type: Pm-3m, No. 221

# 9
Below is SnOsI2 after structural relaxation, with properties calculated at the PBE level.

Unit cell a=5.252 b=5.252 c=5.252 alpha=60.00 beta=60.00 gamma=60.00
Fractional coordinates of all 4 atoms:
Sn (0.000, 0.000, 0.000)
Os (0.500, 0.500, 0.500)
I (0.250, 0.250, 0.250)
I (0.750, 0.750, 0.750)

Total magnetization (μB/atom): 0.57
Formation energy without anion corrections (meV per atom): 1218
ΔE to the lowest computed polymorph (meV per atom): 792
Space-group type: Fm-3m, No. 225

# 10
Below is SnOsI3 after structural relaxation, with properties calculated at the PBE level.

Unit cell a=5.393 b=5.393 c=5.393 alpha=90.00 beta=90.00 gamma=90.00
Fractional coordinates of all 5 atoms:
Sn (0.000, 0.000, 0.000)
Os (0.500, 0.500, 0.500)
I (0.000, 0.500, 0.500)
I (0.500, 0.000, 0.500)
I (0.500, 0.500, 0.000)

Total magnetization (μB/atom): 0.00
Formation energy without anion corrections (meV per atom): 622
ΔE to the lowest computed polymorph (meV per atom): 0
Space-group type: Pm-3m, No. 221

# 11
Below is SnTe2OsI after structural relaxation, with properties calculated at the PBE level.

Unit cell a=5.214 b=5.214 c=5.569 alpha=90.00 beta=90.00 gamma=90.00
Fractional coordinates of all 5 atoms:
Sn (0.000, 0.000, 0.000)
Te (0.000, 0.500, 0.500)
Te (0.500, 0.000, 0.500)
Os (0.500, 0.500, 0.500)
I (0.500, 0.500, 0.000)

Total magnetization (μB/atom): 0.00
Formation energy without anion corrections (meV per atom): 583
ΔE to the lowest computed polymorph (meV per atom): 0
Space-group type: P4/mmm, No. 123

# 12
Below is TlSn2OsI after structural relaxation, with properties calculated at the PBE level.

Unit cell a=5.097 b=5.097 c=6.134 alpha=90.00 beta=90.00 gamma=90.00
Fractional coordinates of all 5 atoms:
Tl (0.000, 0.000, 0.000)
Sn (0.000, 0.500, 0.500)
Sn (0.500, 0.000, 0.500)
Os (0.500, 0.500, 0.500)
I (0.500, 0.500, 0.000)

Total magnetization (μB/atom): 0.00
Formation energy without anion corrections (meV per atom): 320
Space-group type: P4/mmm, No. 123

# 13
Below is Zr2SnOsI after structural relaxation, with properties calculated at the PBE level.

Unit cell a=5.451 b=5.451 c=4.866 alpha=90.00 beta=90.00 gamma=90.00
Fractional coordinates of all 5 atoms:
Zr (0.000, 0.500, 0.000)
Zr (0.500, 0.000, 0.000)
Sn (0.000, 0.000, 0.000)
Os (0.000, 0.000, 0.500)
I (0.500, 0.500, 0.500)

Total magnetization (μB/atom): 0.17
Formation energy without anion corrections (meV per atom): 1272
Space-group type: P4/mmm, No. 123

# 14
Below is Sr2OsI after structural relaxation, with properties calculated at the PBE level.

Unit cell a=5.490 b=5.490 c=5.490 alpha=60.00 beta=60.00 gamma=60.00
Fractional coordinates of all 4 atoms:
Sr (0.250, 0.250, 0.250)
Sr (0.750, 0.750, 0.750)
Os (0.000, 0.000, 0.000)
I (0.500, 0.500, 0.500)

Total magnetization (μB/atom): 0.25
Formation energy without anion corrections (meV per atom): 227
ΔE to the lowest computed polymorph (meV per atom): 0
Space-group type: Fm-3m, No. 225

# 15
Below is Sr2OsI after structural relaxation, with properties calculated at the PBE level.

Unit cell a=7.159 b=7.159 c=7.159 alpha=108.53 beta=108.53 gamma=111.38
Fractional coordinates of all 8 atoms:
Sr (0.081, 0.125, 0.456)
Sr (0.375, 0.919, 0.044)
Sr (0.669, 0.625, 0.544)
Sr (0.875, 0.331, 0.956)
Os (0.000, 0.000, 0.000)
Os (0.750, 0.250, 0.500)
I (0.250, 0.750, 0.500)
I (0.500, 0.500, 0.000)

Total magnetization (μB/atom): 0.25
Formation energy without anion corrections (meV per atom): 323
ΔE to the lowest computed polymorph (meV per atom): 96
Space-group type: I-42d, No. 122

# 16
Below is SrTe2OsI after structural relaxation, with properties calculated at the PBE level.

Unit cell a=5.296 b=5.296 c=5.652 alpha=90.00 beta=90.00 gamma=90.00
Fractional coordinates of all 5 atoms:
Sr (0.000, 0.000, 0.000)
Te (0.000, 0.500, 0.500)
Te (0.500, 0.000, 0.500)
Os (0.500, 0.500, 0.500)
I (0.500, 0.500, 0.000)

Total magnetization (μB/atom): 0.06
Formation energy without anion corrections (meV per atom): -68
ΔE to the lowest computed polymorph (meV per atom): 0
Space-group type: P4/mmm, No. 123

# 17
Below is SrTe2OsI after structural relaxation, with properties calculated at the PBE level.

Unit cell a=6.279 b=6.279 c=6.228 alpha=90.00 beta=90.00 gamma=90.00
Fractional coordinates of all 5 atoms:
Sr (0.000, 0.000, 0.000)
Te (0.000, 0.500, 0.000)
Te (0.500, 0.000, 0.000)
Os (0.500, 0.500, 0.500)
I (0.000, 0.000, 0.500)

Total magnetization (μB/atom): 1.31
Formation energy without anion corrections (meV per atom): 1266
ΔE to the lowest computed polymorph (meV per atom): 1334
Space-group type: P4/mmm, No. 123

# 18
Below is SrYOs2I after structural relaxation, with properties calculated at the PBE level.

Unit cell a=4.993 b=4.993 c=5.502 alpha=90.00 beta=90.00 gamma=90.00
Fractional coordinates of all 5 atoms:
Sr (0.000, 0.000, 0.000)
Y (0.500, 0.500, 0.000)
Os (0.000, 0.500, 0.500)
Os (0.500, 0.000, 0.500)
I (0.000, 0.000, 0.500)

Total magnetization (μB/atom): 0.12
Formation energy without anion corrections (meV per atom): 1504
Space-group type: P4/mmm, No. 123

# 19
Below is TaOsI2 after structural relaxation, with properties calculated at the PBE level.

Unit cell a=4.824 b=4.824 c=4.824 alpha=60.00 beta=60.00 gamma=60.00
Fractional coordinates of all 4 atoms:
Ta (0.000, 0.000, 0.000)
Os (0.500, 0.500, 0.500)
I (0.250, 0.250, 0.250)
I (0.750, 0.750, 0.750)

Total magnetization (μB/atom): 0.00
Formation energy without anion corrections (meV per atom): 1322
ΔE to the lowest computed polymorph (meV per atom): 0
Space-group type: Fm-3m, No. 225

# 20
Below is TaOsI2 after structural relaxation, with properties calculated at the PBE level.

Unit cell a=7.291 b=7.291 c=7.291 alpha=129.77 beta=129.77 gamma=73.78
Fractional coordinates of all 8 atoms:
Ta (0.000, 0.000, 0.000)
Ta (0.750, 0.250, 0.500)
Os (0.250, 0.750, 0.500)
Os (0.500, 0.500, 0.000)
I (0.142, 0.625, 0.017)
I (0.375, 0.392, 0.517)
I (0.608, 0.125, 0.983)
I (0.875, 0.858, 0.483)

Total magnetization (μB/atom): 0.13
Formation energy without anion corrections (meV per atom): 1557
ΔE to the lowest computed polymorph (meV per atom): 235
Space-group type: I-42d, No. 122

# 21
Below is TaTeOsI2 after structural relaxation, with properties calculated at the PBE level.

Unit cell a=5.521 b=5.521 c=5.390 alpha=90.00 beta=90.00 gamma=90.00
Fractional coordinates of all 5 atoms:
Ta (0.000, 0.000, 0.000)
Te (0.000, 0.000, 0.500)
Os (0.500, 0.500, 0.500)
I (0.000, 0.500, 0.000)
I (0.500, 0.000, 0.000)

Total magnetization (μB/atom): 0.76
Formation energy without anion corrections (meV per atom): 1521
ΔE to the lowest computed polymorph (meV per atom): 0
Space-group type: P4/mmm, No. 123

# 22
Below is Tb6OsI10 after structural relaxation, with properties calculated at the PBE level.

Unit cell a=7.779 b=9.770 c=9.818 alpha=107.05 beta=96.64 gamma=104.33
Fractional coordinates of all 17 atoms:
Tb (0.034, 0.219, 0.418)
Tb (0.116, 0.543, 0.260)
Tb (0.346, 0.623, 0.665)
Tb (0.654, 0.377, 0.335)
Tb (0.884, 0.457, 0.740)
Tb (0.966, 0.781, 0.582)
Os (0.000, 0.500, 0.500)
I (0.087, 0.871, 0.321)
I (0.223, 0.246, 0.156)
I (0.255, 0.585, 0.958)
I (0.344, 0.947, 0.771)
I (0.456, 0.316, 0.591)
I (0.544, 0.684, 0.409)
I (0.656, 0.053, 0.229)
I (0.745, 0.415, 0.042)
I (0.777, 0.754, 0.844)
I (0.913, 0.129, 0.679)

Total magnetization (μB/atom): 0.12
Formation energy without anion corrections (meV per atom): -1193
Space-group type: P-1, No. 2

# 23
Below is Tb4OsI5 after structural relaxation, with properties calculated at the PBE level.

Unit cell a=9.963 b=9.963 c=9.055 alpha=102.70 beta=102.70 gamma=24.13
Fractional coordinates of all 10 atoms:
Tb (0.000, 0.000, 0.205)
Tb (0.000, 0.000, 0.795)
Tb (0.360, 0.360, 0.928)
Tb (0.640, 0.640, 0.072)
Os (0.500, 0.500, 0.000)
I (0.168, 0.168, 0.339)
I (0.175, 0.175, 0.834)
I (0.500, 0.500, 0.500)
I (0.825, 0.825, 0.166)
I (0.832, 0.832, 0.661)

Total magnetization (μB/atom): 0.00
Formation energy without anion corrections (meV per atom): -1036
Space-group type: C2/m, No. 12

# 24
Below is TbOsI after structural relaxation, with properties calculated at the PBE level.

Unit cell a=12.416 b=12.416 c=12.416 alpha=19.60 beta=19.60 gamma=19.60
Fractional coordinates of all 6 atoms:
Tb (0.054, 0.054, 0.054)
Tb (0.946, 0.946, 0.946)
Os (0.336, 0.336, 0.336)
Os (0.664, 0.664, 0.664)
I (0.222, 0.222, 0.222)
I (0.778, 0.778, 0.778)

Total magnetization (μB/atom): 0.00
Formation energy without anion corrections (meV per atom): -781
Space-group type: R-3m, No. 166

# 25
Below is TbThOsI after structural relaxation, with properties calculated at the PBE level.

Unit cell a=8.447 b=8.447 c=8.447 alpha=28.61 beta=28.61 gamma=28.61
Fractional coordinates of all 4 atoms:
Tb (0.000, 0.000, 0.000)
Th (0.215, 0.215, 0.215)
Os (0.605, 0.605, 0.605)
I (0.772, 0.772, 0.772)

Total magnetization (μB/atom): 0.00
Formation energy without anion corrections (meV per atom): -637
Space-group type: R3m, No. 160

# 26
Below is TcOs3I after structural relaxation, with properties calculated at the PBE level.

Unit cell a=4.735 b=4.735 c=4.735 alpha=90.00 beta=90.00 gamma=90.00
Fractional coordinates of all 5 atoms:
Tc (0.000, 0.000, 0.000)
Os (0.000, 0.000, 0.500)
Os (0.000, 0.500, 0.000)
Os (0.500, 0.000, 0.000)
I (0.500, 0.500, 0.500)

Total magnetization (μB/atom): 0.00
Formation energy without anion corrections (meV per atom): 2385
ΔE to the lowest computed polymorph (meV per atom): 0
Space-group type: Pm-3m, No. 221

# 27
Below is TcOsI3 after structural relaxation, with properties calculated at the PBE level.

Unit cell a=5.383 b=5.383 c=5.383 alpha=90.00 beta=90.00 gamma=90.00
Fractional coordinates of all 5 atoms:
Tc (0.000, 0.000, 0.000)
Os (0.500, 0.500, 0.500)
I (0.000, 0.500, 0.500)
I (0.500, 0.000, 0.500)
I (0.500, 0.500, 0.000)

Total magnetization (μB/atom): 0.94
Formation energy without anion corrections (meV per atom): 1441
Space-group type: Pm-3m, No. 221